Here is an optimized crystal structure of Sm4Si2C from Alexandria. Energies are from PBE.

Unit cell a=4.881 b=4.881 c=14.979 alpha=90.00 beta=90.00 gamma=90.00
Space group I4/mmm (No. 139)
One atom of each set of equivalent atoms:
Sm 0.000 0.000 0.185 [4 per cell]
Sm 0.000 0.500 0.000 [4 per cell]
Si 0.000 0.000 0.376 [4 per cell]
C 0.000 0.000 0.500 [2 per cell]

Final energy   -80.65 eV for the cell shown
E_form (uncorrected)   -0.197 eV/atom